# CsPmVF6 (PBE+U, relaxed)
data_CsPmVF6
_chemical_formula_sum 'Cs2 Pm2 V2 F12'
_cell_length_a 8.106
_cell_length_b 8.106
_cell_length_c 8.106
_cell_angle_alpha 120.74
_cell_angle_beta 117.25
_cell_angle_gamma 91.77
_space_group_name_H-M_alt 'P 1'
_space_group_IT_number 1
_space_group_name_Hall 'P 1'
loop_
_atom_site_label
_atom_site_type_symbol
_atom_site_fract_x
_atom_site_fract_y
_atom_site_fract_z
Cs1 Cs 0.311 0.061 0.250
Cs2 Cs 0.689 0.939 0.750
Pm1 Pm 0.000 0.500 0.500
Pm2 Pm 0.500 0.500 0.000
V1 V 0.000 0.000 0.500
V2 V 0.000 0.500 0.000
F1 F 0.046 0.404 0.214
F2 F 0.046 0.832 0.642
F3 F 0.050 0.800 0.250
F4 F 0.310 0.168 0.714
F5 F 0.310 0.596 0.142
F6 F 0.331 0.581 0.750
F7 F 0.669 0.419 0.250
F8 F 0.690 0.404 0.858
F9 F 0.690 0.832 0.286
F10 F 0.950 0.200 0.750
F11 F 0.954 0.168 0.358
F12 F 0.954 0.596 0.786
# - space-group type = Imma, No. 74
# - VASP energy (eV/atom) = -6.01
# - M_tot (Bohr magnetons per cell) = 6.000